Record 1
Li7TlSb4 PBE-GGA relaxed; total energy = -0.2277 Ry/atom; raw formation energy = -0.411 eV/atom
1.0
-0.2333 1.5903 -4.8160
1.3489 -7.1603 -5.1060
-6.2634 -0.0169 -2.3784
Sb Li Tl
4 7 1
Cartesian
-3.8394 -0.7314 -5.4080
-4.8098 -3.8199 -9.0570
-1.3084 -4.8555 -6.8924
-0.3380 -1.7670 -3.2433
-0.1166 0.7951 -2.4080
-0.3147 -4.4635 -4.1349
-4.8331 -1.1234 -8.1655
-1.2747 -2.1025 -5.9850
-2.3765 -5.1708 -9.6210
-2.7713 -0.4161 -2.6794
-3.8731 -3.4844 -6.3154
0.0000 0.0000 0.0000

=====

Record 2
Y5URu6 PBE-GGA relaxed; total energy = -0.6368 Ry/atom; energy of formation = -0.393 eV per atom
1.0
4.8185 -0.3052 0.7788
-0.0188 6.3554 2.6058
1.1883 0.3750 8.1470
Ru Y U
6 5 1
Cartesian
1.5419 6.0949 8.1970
1.5522 2.6240 6.7736
4.4358 3.8011 4.7580
2.3948 4.7672 2.4067
3.5932 1.6580 9.1250
4.4461 0.3303 3.3346
3.9826 4.2621 7.7401
1.9643 5.2691 5.2690
2.0053 2.1631 3.7915
4.0236 1.1560 6.2626
-0.0094 3.1777 1.3029
0.0000 0.0000 0.0000